(1)
The following is a PBE calculation of a geometry-optimized Nb2Fe structure, from Alexandria.

POSCAR file:
```
Nb2Fe
1.0
9.6620 0.0000 0.0000
0.0000 9.6620 0.0000
0.0000 0.0000 5.1080
Nb Fe
20 10
Direct
0.0357 0.3731 0.0000 Nb
0.1060 0.1060 0.0000 Nb
0.1269 0.5357 0.5000 Nb
0.1793 0.8207 0.2503 Nb
0.1793 0.8207 0.7497 Nb
0.3207 0.3207 0.2497 Nb
0.3207 0.3207 0.7503 Nb
0.3731 0.0357 0.0000 Nb
0.3940 0.6060 0.5000 Nb
0.4643 0.8731 0.5000 Nb
0.5357 0.1269 0.5000 Nb
0.6060 0.3940 0.5000 Nb
0.6269 0.9643 0.0000 Nb
0.6793 0.6793 0.2497 Nb
0.6793 0.6793 0.7503 Nb
0.8207 0.1793 0.2503 Nb
0.8207 0.1793 0.7497 Nb
0.8731 0.4643 0.5000 Nb
0.8940 0.8940 0.0000 Nb
0.9643 0.6269 0.0000 Nb
0.0000 0.0000 0.5000 Fe
0.0712 0.2481 0.5000 Fe
0.2481 0.0712 0.5000 Fe
0.2519 0.5712 0.0000 Fe
0.4288 0.7481 0.0000 Fe
0.5000 0.5000 0.0000 Fe
0.5712 0.2519 0.0000 Fe
0.7481 0.4288 0.0000 Fe
0.7519 0.9288 0.5000 Fe
0.9288 0.7519 0.5000 Fe
```

Results
Its spin magnetization is 1.06 μB/f.u. The value obtained for the calculated volume is 15.89 Å³/atom. As for the energy of formation: -0.041 eV/atom.



(2)
The following is a PBE calculation of a geometry-optimized Nb4Fe structure, from Alexandria.

POSCAR file:
```
Nb4Fe
1.0
4.5859 0.0000 0.0000
0.0000 4.5859 0.0000
0.0000 0.0000 4.5859
Nb Fe
4 1
Direct
0.0000 0.0000 0.0000 Nb
0.0000 0.5000 0.5000 Nb
0.5000 0.0000 0.5000 Nb
0.5000 0.5000 0.0000 Nb
0.5000 0.5000 0.5000 Fe
```

Results
Its spin magnetization is 0.00 μB/f.u. The energy above the most stable polymorph in this dataset is 0.544 eV/atom. The value obtained for the calculated volume is 19.29 Å³/atom. As for the energy of formation: 0.721 eV/atom.



(3)
The following is a PBE calculation of a geometry-optimized Nb4Fe structure, from Alexandria.

POSCAR file:
```
Nb4Fe
1.0
-2.7195 2.7195 5.9187
2.7195 -2.7195 5.9187
2.7195 2.7195 -5.9187
Nb Fe
8 2
Direct
0.1544 0.8038 0.8597 Nb
0.2052 0.3456 0.1494 Nb
0.3038 0.9441 0.6494 Nb
0.4441 0.2948 0.6403 Nb
0.5559 0.7052 0.3597 Nb
0.6962 0.0559 0.3506 Nb
0.7948 0.6544 0.8506 Nb
0.8456 0.1962 0.1403 Nb
0.1250 0.3750 0.7500 Fe
0.8750 0.6250 0.2500 Fe
```

Results
Its spin magnetization is 0.00 μB/f.u. The energy above the most stable polymorph in this dataset is 0.000 eV/atom. The value obtained for the calculated volume is 17.51 Å³/atom. As for the energy of formation: 0.177 eV/atom.



(4)
The following is a PBE calculation of a geometry-optimized NbFe4 structure, from Alexandria.

POSCAR file:
```
NbFe4
1.0
4.4470 0.0000 0.0000
0.0000 4.4470 0.0000
0.0000 0.0000 4.4470
Nb Fe
1 4
Direct
0.0000 0.0000 0.0000 Nb
0.0000 0.0000 0.5000 Fe
0.0000 0.5000 0.0000 Fe
0.5000 0.0000 0.0000 Fe
0.5000 0.5000 0.5000 Fe
```

Results
Its spin magnetization is 7.66 μB/f.u. The value obtained for the calculated volume is 17.59 Å³/atom. As for the energy of formation: 1.664 eV/atom.



(5)
The following is a PBE calculation of a geometry-optimized Nb2Fe structure, from Alexandria.

POSCAR file:
```
Nb2Fe
1.0
4.4437 0.0000 0.0000
0.0000 4.4555 0.0000
0.0000 0.0000 9.6786
Nb Fe
8 4
Direct
0.0000 0.0000 0.1567 Nb
0.0000 0.0000 0.8433 Nb
0.0000 0.5000 0.3433 Nb
0.0000 0.5000 0.6567 Nb
0.5000 0.0000 0.3433 Nb
0.5000 0.0000 0.6567 Nb
0.5000 0.5000 0.1567 Nb
0.5000 0.5000 0.8433 Nb
0.0000 0.0000 0.5000 Fe
0.0000 0.5000 0.0000 Fe
0.5000 0.0000 0.0000 Fe
0.5000 0.5000 0.5000 Fe
```

Results
Its spin magnetization is 0.77 μB/f.u. The value obtained for the calculated volume is 15.97 Å³/atom. As for the energy of formation: -0.001 eV/atom.



(6)
The following is a PBE calculation of a geometry-optimized Nb2Fe structure, from Alexandria.

POSCAR file:
```
Nb2Fe
1.0
0.0000 3.7662 3.7662
3.7662 0.0000 3.7662
3.7662 3.7662 0.0000
Nb Fe
4 2
Direct
0.0000 0.0000 0.0000 Nb
0.0000 0.0000 0.5000 Nb
0.0000 0.5000 0.0000 Nb
0.5000 0.0000 0.0000 Nb
0.3750 0.3750 0.3750 Fe
0.6250 0.6250 0.6250 Fe
```

Results
Its spin magnetization is 2.38 μB/f.u. The value obtained for the calculated volume is 17.81 Å³/atom. As for the energy of formation: 0.577 eV/atom.